Here is a relaxed CaTl3Cl crystal from the Alexandria database. Energies are from PBE-GGA.

Output
As for the energy above the most stable polymorph in this dataset: 370 meV per atom. The crystal system is cubic. The calculation puts the formation energy without anion corrections at 201 meV per atom. Its volume is 232 Å³ per cell. The density of states at the Fermi level comes out at 7.4 states/eV per cell.

a = 6.1472 Å, b = 6.1472 Å, c = 6.1472 Å
α = 90.00°, β = 90.00°, γ = 90.00°
Fractional positions:
Ca (0.0000, 0.0000, 0.0000)
Tl (0.0000, 0.0000, 0.5000)
Tl (0.0000, 0.5000, 0.0000)
Tl (0.5000, 0.0000, 0.0000)
Cl (0.5000, 0.5000, 0.5000)